Record 1
A geometry-optimized HfCdAu6 structure, computed with PBE-GGA.

Lattice parameters (Å, degrees): 4.223 5.107 7.874 78.15 74.44 65.57
Atoms (fractional coordinates):
Cd 0.000 0.500 0.500
Au 0.504 0.239 0.754
Au 0.247 0.874 0.631
Au 0.753 0.126 0.369
Au 0.747 0.624 0.881
Au 0.253 0.376 0.119
Au 0.496 0.761 0.246
Hf 0.000 0.000 0.000

Results
- Calculated total energy: -4.1135 eV per atom
- Magnetic moment: 0.00 μB per formula unit
- Formation energy from the elements: -2.4 eV/f.u.
- Calculated density: 16.514 Mg/m³

---

Record 2
A geometry-optimized HfCd2Au2 structure, computed with PBE-GGA.

Lattice parameters (Å, degrees): 8.168 8.168 2.999 90.00 90.00 90.00
Atoms (fractional coordinates):
Cd 0.876 0.624 0.000
Au 0.176 0.676 0.500
Au 0.824 0.324 0.500
Hf 0.500 0.500 0.000
Cd 0.624 0.124 0.000
Cd 0.376 0.876 0.000
Cd 0.124 0.376 0.000
Au 0.676 0.824 0.500
Hf 0.000 0.000 0.000
Au 0.324 0.176 0.500

Results
- Calculated total energy: -3.6950 eV per atom
- Magnetic moment: 0.00 μB per formula unit
- Offset from the most stable computed form: 65 meV/atom
- Formation energy from the elements: -0.1 eV/f.u.
- Calculated density: 13.235 Mg/m³

---

Record 3
A geometry-optimized HfCdAu2 structure, computed with PBE-GGA.

Lattice parameters (Å, degrees): 6.442 6.442 6.442 55.42 154.35 131.76
Atoms (fractional coordinates):
Cd 0.000 0.000 0.000
Au 0.000 0.263 0.263
Au 0.000 0.737 0.737
Hf 0.000 0.500 0.500

Results
- Calculated total energy: -4.1970 eV per atom
- Magnetic moment: 0.00 μB per formula unit
- Formation energy from the elements: 0.6 eV/f.u.
- Calculated density: 13.244 Mg/m³